! PBE-GGA Cr2GePt9, relaxed; values from VASP
! Formation energy ... -3.1 eV per formula unit
! Magnetization ... 5.4 μB/f.u.
! Calculated total energy ... -6.78 eV per atom
&SYSTEM
  ibrav = 0, nat = 12, ntyp = 3
/
ATOMIC_SPECIES
Cr 52.00 Cr.upf
Ge 72.64 Ge.upf
Pt 195.08 Pt.upf
ATOMIC_POSITIONS crystal
Cr 0.0000 0.0000 0.1621
Cr 0.0000 0.0000 0.8379
Ge 0.0000 0.0000 0.5000
Pt 0.0000 0.5000 0.0000
Pt 0.0000 0.5000 0.3296
Pt 0.0000 0.5000 0.6704
Pt 0.5000 0.0000 0.0000
Pt 0.5000 0.0000 0.3296
Pt 0.5000 0.0000 0.6704
Pt 0.5000 0.5000 0.1659
Pt 0.5000 0.5000 0.5000
Pt 0.5000 0.5000 0.8341
CELL_PARAMETERS angstrom
3.9277 0.0000 0.0000
0.0000 3.9277 0.0000
0.0000 0.0000 11.8587